Record 1
Re3Te7Br7 | GGA-PBEsol | optimized geometry

Computed properties:
E_form (uncorrected) = -0.254 eV per atom
volume = 30.6 Å³/atom
energy = -82.09 eV per formula unit
magnetization = 0.0 μB/f.u.

a = 10.2065 Å, b = 10.2065 Å, c = 34.6401 Å
α = 90.00°, β = 90.00°, γ = 120.00°
Space group R-3 (No. 148, hexagonal axes)
One atom of each set of equivalent atoms:
Re: 0.0277 0.8637 0.0320
Te: 0.0000 0.0000 0.0951
Te: 0.9999 0.2716 0.5922
Te: 0.0053 0.6122 0.6351
Br: 0.0000 0.0000 0.3631
Br: 0.0647 0.8274 0.7888
Br: 0.0843 0.8386 0.5400

---

Record 2
Re2TeBr | GGA-PBEsol | optimized geometry

Computed properties:
E_form (uncorrected) = 1.384 eV per atom
volume = 18.1 Å³/atom
energy = -26.52 eV per formula unit
magnetization = 0.0 μB/f.u.

a = 3.050 Å, b = 5.419 Å, c = 8.760 Å
α = 90.00°, β = 90.00°, γ = 90.00°
Space group Cmmm (No. 65)
One atom of each set of equivalent atoms:
Re: 0.000 0.000 0.242
Te: 0.000 0.500 0.000
Br: 0.000 0.500 0.500

---

Record 3
ReTe2Br4 | GGA-PBEsol | optimized geometry

Computed properties:
E_form (uncorrected) = -0.326 eV per atom
volume = 33.2 Å³/atom
energy = -30.15 eV per formula unit
magnetization = 0.0 μB/f.u.

a = 11.641 Å, b = 11.641 Å, c = 13.704 Å
α = 90.00°, β = 90.00°, γ = 90.00°
Space group I-4 (No. 82)
One atom of each set of equivalent atoms:
Re: 0.019 0.117 0.074
Te: 0.031 0.184 0.893
Te: 0.162 0.292 0.130
Br: 0.039 0.147 0.265
Br: 0.080 0.679 0.093
Br: 0.106 0.734 0.525
Br: 0.141 0.298 0.673